Entry 1:
First-principles (PBE) data for crystalline Pm2NbIn at its relaxed geometry, as listed in Alexandria.

```
data_Pm2NbIn
_chemical_formula_sum 'Pm2 Nb1 In1'
_cell_length_a 3.263
_cell_length_b 3.263
_cell_length_c 11.799
_cell_angle_alpha 82.05
_cell_angle_beta 82.05
_cell_angle_gamma 60.00
_space_group_name_H-M_alt 'P 1'
_space_group_IT_number 1
_space_group_name_Hall 'P 1'
loop_
_atom_site_label
_atom_site_type_symbol
_atom_site_fract_x
_atom_site_fract_y
_atom_site_fract_z
Nb1 Nb 0.000 0.000 0.000
In1 In 0.500 0.500 0.500
Pm1 Pm 0.085 0.085 0.744
Pm2 Pm 0.915 0.915 0.256
```

Output
The density of states at the Fermi level is 1.55 states/eV/atom. Its energy relative to the elements is 442 meV per atom. As for the space group: No. 166.

---

Entry 2:
First-principles (PBE) data for crystalline Mo2AsC at its relaxed geometry, as listed in Alexandria.

```
data_Mo2AsC
_chemical_formula_sum 'Mo2 As1 C1'
_cell_length_a 3.178
_cell_length_b 3.178
_cell_length_c 6.474
_cell_angle_alpha 75.79
_cell_angle_beta 75.79
_cell_angle_gamma 60.00
_space_group_name_H-M_alt 'P 1'
_space_group_IT_number 1
_space_group_name_Hall 'P 1'
loop_
_atom_site_label
_atom_site_type_symbol
_atom_site_fract_x
_atom_site_fract_y
_atom_site_fract_z
Mo1 Mo 0.060 0.060 0.819
Mo2 Mo 0.273 0.273 0.180
As1 As 0.500 0.500 0.501
C1 C 0.667 0.667 0.000
```

Output
The density of states at the Fermi level is 0.55 states/eV/atom. The value obtained for the polymorph energy (0 for the lowest one) is 0 meV/atom. Its energy relative to the elements is -22 meV per atom. As for the space group: No. 160.

---

Entry 3:
First-principles (PBE) data for crystalline Al2InSb at its relaxed geometry, as listed in Alexandria.

```
data_Al2InSb
_chemical_formula_sum 'Al2 In1 Sb1'
_cell_length_a 6.065
_cell_length_b 6.065
_cell_length_c 6.065
_cell_angle_alpha 139.85
_cell_angle_beta 139.85
_cell_angle_gamma 58.08
_space_group_name_H-M_alt 'P 1'
_space_group_IT_number 1
_space_group_name_Hall 'P 1'
loop_
_atom_site_label
_atom_site_type_symbol
_atom_site_fract_x
_atom_site_fract_y
_atom_site_fract_z
Sb1 Sb 0.750 0.250 0.500
Al1 Al 0.000 0.000 0.000
Al2 Al 0.250 0.750 0.500
In1 In 0.500 0.500 0.000
```

Output
The value obtained for the uncorrected formation energy is 0.217 eV per atom. The density of states at the Fermi level is 0.50 states/eV/atom. The value obtained for the polymorph energy (0 for the lowest one) is 114 meV/atom. As for the space group: No. 119.

---

Copy entry 1 word for word.
First-principles (PBE) data for crystalline Pm2NbIn at its relaxed geometry, as listed in Alexandria.

```
data_Pm2NbIn
_chemical_formula_sum 'Pm2 Nb1 In1'
_cell_length_a 3.263
_cell_length_b 3.263
_cell_length_c 11.799
_cell_angle_alpha 82.05
_cell_angle_beta 82.05
_cell_angle_gamma 60.00
_space_group_name_H-M_alt 'P 1'
_space_group_IT_number 1
_space_group_name_Hall 'P 1'
loop_
_atom_site_label
_atom_site_type_symbol
_atom_site_fract_x
_atom_site_fract_y
_atom_site_fract_z
Nb1 Nb 0.000 0.000 0.000
In1 In 0.500 0.500 0.500
Pm1 Pm 0.085 0.085 0.744
Pm2 Pm 0.915 0.915 0.256
```

Output
The density of states at the Fermi level is 1.55 states/eV/atom. Its energy relative to the elements is 442 meV per atom. As for the space group: No. 166.

---

Please write out number 1 again, unchanged.
First-principles (PBE) data for crystalline Pm2NbIn at its relaxed geometry, as listed in Alexandria.

```
data_Pm2NbIn
_chemical_formula_sum 'Pm2 Nb1 In1'
_cell_length_a 3.263
_cell_length_b 3.263
_cell_length_c 11.799
_cell_angle_alpha 82.05
_cell_angle_beta 82.05
_cell_angle_gamma 60.00
_space_group_name_H-M_alt 'P 1'
_space_group_IT_number 1
_space_group_name_Hall 'P 1'
loop_
_atom_site_label
_atom_site_type_symbol
_atom_site_fract_x
_atom_site_fract_y
_atom_site_fract_z
Nb1 Nb 0.000 0.000 0.000
In1 In 0.500 0.500 0.500
Pm1 Pm 0.085 0.085 0.744
Pm2 Pm 0.915 0.915 0.256
```

Output
The density of states at the Fermi level is 1.55 states/eV/atom. Its energy relative to the elements is 442 meV per atom. As for the space group: No. 166.